GGA-PBE Sr3SbPd, optimized geometry; formation energy without anion corrections = -2.63 eV/f.u.; space-group type = No. 221; DOS at the Fermi energy = 3.790 states/eV per cell; energy relative to the lowest polymorph listed for this composition = 0.000 eV/atom; E = -16.99 eV/cell; total magnetic moment = 0.0 Bohr magnetons per cell
1.0
-4.5392 0.1539 -3.5320
-0.9246 -5.5997 0.9443
-3.4124 1.3126 4.4425
Sb Pd Sr
1 1 3
Direct
0.5000 0.5000 0.5000
0.0000 0.0000 0.0000
0.0000 0.5000 0.0000
0.0000 0.0000 0.5000
0.5000 0.0000 0.0000